# 1
! ZrAg2Hg (meta-GGA SCAN, PBEsol geometry); values from VASP
&SYSTEM
  ibrav = 0, nat = 4, ntyp = 3
/
ATOMIC_SPECIES
Ag 107.87 Ag.upf
Hg 200.59 Hg.upf
Zr 91.22 Zr.upf
ATOMIC_POSITIONS crystal
Ag 0.0000 0.5000 0.0000
Ag 0.5000 0.0000 0.0000
Hg 0.5000 0.5000 0.5000
Zr 0.0000 0.0000 0.5000
CELL_PARAMETERS angstrom
-2.3875 -2.6599 -2.2691
-2.2128 -0.9777 3.4744
-2.7266 3.1682 -0.8450
! - space-group type = P4/mmm, No. 123
! - raw total energy (eV per formula unit) = -161.4

# 2
! KBe2Re (meta-GGA SCAN, PBEsol geometry); values from VASP
&SYSTEM
  ibrav = 0, nat = 4, ntyp = 3
/
ATOMIC_SPECIES
Re 186.21 Re.upf
K 39.10 K.upf
Be 9.01 Be.upf
ATOMIC_POSITIONS crystal
Re 0.2500 0.2500 0.2500
K 0.5000 0.5000 0.5000
Be 0.7500 0.7500 0.7500
Be 0.0000 0.0000 0.0000
CELL_PARAMETERS angstrom
-0.2760 3.3281 -2.7930
-3.8610 1.1317 -1.6629
-1.8930 3.7225 1.2298
! - space-group type = F-43m, No. 216
! - raw total energy (eV per formula unit) = -80.5